Arrangement i

## Mn2HgPt2 (PBE)

Data for a relaxed Mn2HgPt2 crystal.

The space group is P4/mbm (No. 127) and the conventional cell measures 7.6650, 7.6650 and 2.8953 Å, with angles of 90.00, 90.00 and 90.00 degrees. The distinct sites, in fractional coordinates, are Mn at (0.1470, 0.3530, 0.0000), Hg at (0.0000, 0.0000, 0.0000) and Pt at (0.1456, 0.6456, 0.5000).

---

Arrangement ii

## Mn2HgPt2 (PBE)

Data for a relaxed Mn2HgPt2 crystal.

The space group is P4/mbm (No. 127) and the conventional cell measures 7.6096, 7.6096 and 2.9175 Å, with angles of 90.00, 90.00 and 90.00 degrees. The distinct sites, in fractional coordinates, are Mn at (0.1584, 0.3416, 0.0000), Hg at (0.0000, 0.0000, 0.5000) and Pt at (0.1362, 0.6362, 0.5000).

---

Need the numbers? Relative energies in kJ/mol of atoms: arrangement i 7.0; arrangement ii 0.0.

---

Arrangement i

## Pu2MnHg (PBE)

Data for a relaxed Pu2MnHg crystal.

The space group is P4/mmm (No. 123) and the conventional cell measures 4.2213, 4.2213 and 4.9971 Å, with angles of 90.00, 90.00 and 90.00 degrees. The distinct sites, in fractional coordinates, are Pu at (0.0000, 0.5000, 0.0000), Mn at (0.0000, 0.0000, 0.5000) and Hg at (0.5000, 0.5000, 0.5000).

---

Arrangement ii

## Pu2MnHg (PBE)

Data for a relaxed Pu2MnHg crystal.

The space group is Fm-3m (No. 225) and the conventional cell measures 7.2226, 7.2226 and 7.2226 Å, with angles of 90.00, 90.00 and 90.00 degrees. The distinct sites, in fractional coordinates, are Pu at (0.2500, 0.2500, 0.2500), Mn at (0.0000, 0.0000, 0.0000) and Hg at (0.0000, 0.0000, 0.5000).

---

Need the numbers? Relative energies in kJ/mol of atoms: arrangement i 13.1; arrangement ii 0.0.

---

Arrangement i

## PuMnHg (PBE)

Data for a relaxed PuMnHg crystal.

The space group is C2/m (No. 12) and the conventional cell measures 12.6051, 3.1583 and 6.5256 Å, with angles of 90.00, 106.05 and 90.00 degrees. The distinct sites, in fractional coordinates, are Pu at (0.1567, 0.0000, 0.0964), Mn at (0.0027, 0.5000, 0.2119) and Hg at (0.1327, 0.0000, 0.5772).

---

Arrangement ii

## PuMnHg (PBE)

Data for a relaxed PuMnHg crystal.

The space group is I4mm (No. 107) and the conventional cell measures 3.2149, 3.2149 and 12.0239 Å, with angles of 90.00, 90.00 and 90.00 degrees. The distinct sites, in fractional coordinates, are Pu at (0.0000, 0.0000, 0.0000), Mn at (0.0000, 0.0000, 0.3499) and Hg at (0.0000, 0.0000, 0.7045).

---

Need the numbers? Relative energies in kJ/mol of atoms: arrangement i 4.9; arrangement ii 0.0.

---

Arrangement i

## RbMn3Hg (PBE)

Data for a relaxed RbMn3Hg crystal.

The space group is Pm-3m (No. 221) and the conventional cell measures 5.2961, 5.2961 and 5.2961 Å, with angles of 90.00, 90.00 and 90.00 degrees. The distinct sites, in fractional coordinates, are Rb at (0.0000, 0.0000, 0.0000), Mn at (0.0000, 0.5000, 0.5000) and Hg at (0.5000, 0.5000, 0.5000).

---

Arrangement ii

## RbMn3Hg (PBE)

Data for a relaxed RbMn3Hg crystal.

The space group is Pm-3m (No. 221) and the conventional cell measures 5.0999, 5.0999 and 5.0999 Å, with angles of 90.00, 90.00 and 90.00 degrees. The distinct sites, in fractional coordinates, are Rb at (0.0000, 0.0000, 0.0000), Mn at (0.0000, 0.0000, 0.5000) and Hg at (0.5000, 0.5000, 0.5000).

---

Need the numbers? Relative energies in kJ/mol of atoms: arrangement i 0.0; arrangement ii 114.8.

---

Arrangement i

## MnRe3Hg (PBE)

Data for a relaxed MnRe3Hg crystal.

The space group is Pm-3m (No. 221) and the conventional cell measures 4.4718, 4.4718 and 4.4718 Å, with angles of 90.00, 90.00 and 90.00 degrees. The distinct sites, in fractional coordinates, are Mn at (0.0000, 0.0000, 0.0000), Re at (0.0000, 0.0000, 0.5000) and Hg at (0.5000, 0.5000, 0.5000).

---

Arrangement ii

## MnRe3Hg (PBE)

Data for a relaxed MnRe3Hg crystal.

The space group is Pm-3m (No. 221) and the conventional cell measures 4.8342, 4.8342 and 4.8342 Å, with angles of 90.00, 90.00 and 90.00 degrees. The distinct sites, in fractional coordinates, are Mn at (0.0000, 0.0000, 0.0000), Re at (0.0000, 0.5000, 0.5000) and Hg at (0.5000, 0.5000, 0.5000).

---

Need the numbers? Relative energies in kJ/mol of atoms: arrangement i 0.0; arrangement ii 208.0.

---

Arrangement i

## Mn3ReHg (PBE)

Data for a relaxed Mn3ReHg crystal.

The space group is Pm-3m (No. 221) and the conventional cell measures 4.8657, 4.8657 and 4.8657 Å, with angles of 90.00, 90.00 and 90.00 degrees. The distinct sites, in fractional coordinates, are Mn at (0.0000, 0.0000, 0.5000), Re at (0.5000, 0.5000, 0.5000) and Hg at (0.0000, 0.0000, 0.0000).

---

Arrangement ii

## Mn3ReHg (PBE)

Data for a relaxed Mn3ReHg crystal.

The space group is Pm-3m (No. 221) and the conventional cell measures 4.6981, 4.6981 and 4.6981 Å, with angles of 90.00, 90.00 and 90.00 degrees. The distinct sites, in fractional coordinates, are Mn at (0.0000, 0.0000, 0.5000), Re at (0.0000, 0.0000, 0.0000) and Hg at (0.5000, 0.5000, 0.5000).

---

Need the numbers? Relative energies in kJ/mol of atoms: arrangement i 76.8; arrangement ii 0.0.